## P
A plane-wave DFT calculation with GGA-PBE was carried out for Tb3Nd2Sn4 after structural relaxation.

Unit cell a=7.058 b=17.203 c=8.989 alpha=90.00 beta=90.00 gamma=90.00
Space group Cmce (No. 64)
One atom of each set of equivalent atoms:
Tb  0.000  0.000  0.000 (multiplicity 4)
Tb  0.250  0.206  0.250 (multiplicity 8)
Nd  0.000  0.111  0.590 (multiplicity 8)
Sn  0.000  0.186  0.944 (multiplicity 8)
Sn  0.250  0.030  0.250 (multiplicity 8)



## Q
A plane-wave DFT calculation with GGA-PBE was carried out for Tb3Nd2Sn4 after structural relaxation.

Unit cell a=8.374 b=8.374 c=8.068 alpha=90.00 beta=110.42 gamma=90.00
Space group P2_1/c (No. 14)
One atom of each set of equivalent atoms:
Tb  0.000  0.000  0.000 (multiplicity 2)
Tb  0.253  0.168  0.759 (multiplicity 4)
Nd  0.307  0.678  0.937 (multiplicity 4)
Sn  0.012  0.635  0.136 (multiplicity 4)
Sn  0.418  0.038  0.159 (multiplicity 4)



Energies relative to the minimum, meV/atom: P 171; Q 0



## P
A plane-wave DFT calculation with GGA-PBE was carried out for Nd2SnTe4 after structural relaxation.

Unit cell a=8.031 b=13.012 c=4.638 alpha=90.00 beta=90.00 gamma=90.00
Space group Pbam (No. 55)
One atom of each set of equivalent atoms:
Nd  0.091  0.179  0.000 (multiplicity 4)
Sn  0.000  0.500  0.500 (multiplicity 2)
Te  0.140  0.720  0.500 (multiplicity 4)
Te  0.243  0.955  0.000 (multiplicity 4)



## Q
A plane-wave DFT calculation with GGA-PBE was carried out for Nd2SnTe4 after structural relaxation.

Unit cell a=16.716 b=4.526 c=7.930 alpha=90.00 beta=116.34 gamma=90.00
Space group C2/m (No. 12)
One atom of each set of equivalent atoms:
Nd  0.233  0.000  0.221 (multiplicity 4)
Sn  0.000  0.500  0.500 (multiplicity 2)
Te  0.123  0.500  0.945 (multiplicity 4)
Te  0.136  0.000  0.488 (multiplicity 4)



Energies relative to the minimum, meV/atom: P 15; Q 0



## P
A plane-wave DFT calculation with GGA-PBE was carried out for Nd5Sn2Te2 after structural relaxation.

Unit cell a=15.949 b=8.338 c=8.394 alpha=90.00 beta=90.00 gamma=90.00
Space group Cmce (No. 64)
One atom of each set of equivalent atoms:
Nd  0.000  0.000  0.000 (multiplicity 4)
Nd  0.135  0.169  0.334 (multiplicity 16)
Sn  0.000  0.132  0.631 (multiplicity 8)
Te  0.202  0.000  0.000 (multiplicity 8)



## Q
A plane-wave DFT calculation with GGA-PBE was carried out for Nd5Sn2Te2 after structural relaxation.

Unit cell a=17.289 b=7.954 c=8.528 alpha=90.00 beta=90.00 gamma=90.00
Space group Ima2 (No. 46)
One atom of each set of equivalent atoms:
Nd  0.058  0.211  0.000 (multiplicity 8)
Nd  0.155  0.658  0.111 (multiplicity 8)
Nd  0.250  0.152  0.270 (multiplicity 4)
Sn  0.082  0.543  0.786 (multiplicity 8)
Te  0.000  0.000  0.722 (multiplicity 4)
Te  0.250  0.520  0.424 (multiplicity 4)



Energies relative to the minimum, meV/atom: P 0; Q 217



## P
A plane-wave DFT calculation with GGA-PBE was carried out for NdTh2Sn after structural relaxation.

Unit cell a=4.883 b=4.883 c=5.054 alpha=90.00 beta=90.00 gamma=90.00
Space group P4/mmm (No. 123)
One atom of each set of equivalent atoms:
Nd  0.000  0.000  0.000 (multiplicity 1)
Th  0.000  0.500  0.500 (multiplicity 2)
Sn  0.500  0.500  0.000 (multiplicity 1)



## Q
A plane-wave DFT calculation with GGA-PBE was carried out for NdTh2Sn after structural relaxation.

Unit cell a=3.5048 b=3.5048 c=37.5781 alpha=90.00 beta=90.00 gamma=120.00
Space group R-3m (No. 166, hexagonal axes)
One atom of each set of equivalent atoms:
Nd  0.0000  0.0000  0.0000 (multiplicity 3)
Th  0.0000  0.0000  0.4144 (multiplicity 6)
Sn  0.0000  0.0000  0.5000 (multiplicity 3)



Energies relative to the minimum, meV/atom: P 0; Q 524



## P
A plane-wave DFT calculation with GGA-PBE was carried out for Nd2ThSn after structural relaxation.

Unit cell a=4.093 b=4.093 c=7.286 alpha=90.00 beta=90.00 gamma=90.00
Space group P4/mmm (No. 123)
One atom of each set of equivalent atoms:
Nd  0.000  0.000  0.221 (multiplicity 2)
Th  0.500  0.500  0.500 (multiplicity 1)
Sn  0.500  0.500  0.000 (multiplicity 1)



## Q
A plane-wave DFT calculation with GGA-PBE was carried out for Nd2ThSn after structural relaxation.

Unit cell a=3.4621 b=3.4621 c=36.8683 alpha=90.00 beta=90.00 gamma=120.00
Space group R-3m (No. 166, hexagonal axes)
One atom of each set of equivalent atoms:
Nd  0.0000  0.0000  0.0934 (multiplicity 6)
Th  0.0000  0.0000  0.0000 (multiplicity 3)
Sn  0.0000  0.0000  0.5000 (multiplicity 3)



Energies relative to the minimum, meV/atom: P 0; Q 303